# In4AuBr2 (GGA-PBE, relaxed)
data_In4AuBr2
_chemical_formula_sum 'In8 Au2 Br4'
_symmetry_space_group_name_H-M 'I 4/m m m'
_symmetry_Int_Tables_number 139
_symmetry_space_group_name_Hall '-I 4 2'
_cell_length_a 5.4045
_cell_length_b 5.4045
_cell_length_c 16.6668
_cell_angle_alpha 90.00
_cell_angle_beta 90.00
_cell_angle_gamma 90.00
loop_
_atom_site_label
_atom_site_type_symbol
_atom_site_fract_x
_atom_site_fract_y
_atom_site_fract_z
_atom_site_occupancy
In1 In 0.0000 0.0000 0.1702 1
In2 In 0.0000 0.5000 0.0000 1
Au1 Au 0.0000 0.0000 0.0000 1
Br1 Br 0.0000 0.0000 0.3613 1
# magnetic moment	0.00	μB per cell
# crystal system	tetragonal
# energy relative to the elements, uncorrected	-272	meV per atom